<i>
A plane-wave DFT calculation with PBE-GGA was carried out for an optimized crystal structure of Zr2TaTc.

- V (A^3/atom) = 19.31
- space-group type = No. 6

The structure in POSCAR format:
```
Zr2TaTc
1.0
-4.094 -1.405 -1.246
1.029 -0.415 -2.912
1.861 -5.363 -0.067
Ta Tc Zr
1 1 2
Direct
0.000 0.549 0.522 Ta
0.500 0.746 0.737 Tc
0.000 0.956 0.981 Zr
0.500 0.249 0.261 Zr
```

---

<ii>
A plane-wave DFT calculation with PBE-GGA was carried out for an optimized crystal structure of Zr2TaTc.

- V (A^3/atom) = 19.48
- space-group type = No. 35

The structure in POSCAR format:
```
Zr2TaTc
1.0
2.983 0.003 0.000
-1.165 2.746 0.000
0.000 0.000 9.510
Ta Tc Zr
1 1 2
Direct
0.000 0.000 0.528 Ta
0.500 0.500 0.739 Tc
0.000 0.000 0.969 Zr
0.500 0.500 0.264 Zr
```

---

Most favorable first, least favorable last: <i>, <ii>

---

<i>
A plane-wave DFT calculation with PBE-GGA was carried out for an optimized crystal structure of AlSeIO2.

- V (A^3/atom) = 20.43
- space-group type = No. 123

The structure in POSCAR format:
```
AlSeIO2
1.0
-3.598 0.811 -0.826
-0.945 -3.615 0.568
-1.265 1.414 6.894
I O Al Se
1 2 1 1
Direct
0.000 0.000 0.500 I
0.000 0.500 0.000 O
0.500 0.000 0.000 O
0.000 0.000 0.000 Al
0.500 0.500 0.500 Se
```

---

<ii>
A plane-wave DFT calculation with PBE-GGA was carried out for an optimized crystal structure of AlSeIO2.

- V (A^3/atom) = 19.42
- space-group type = No. 123

The structure in POSCAR format:
```
AlSeIO2
1.0
4.027 0.000 0.000
0.000 4.027 0.000
0.000 0.000 5.988
I O Al Se
1 2 1 1
Direct
0.000 0.000 0.500 I
0.000 0.500 0.000 O
0.500 0.000 0.000 O
0.500 0.500 0.500 Al
0.000 0.000 0.000 Se
```

---

Most favorable first, least favorable last: <i>, <ii>

---

<i>
A plane-wave DFT calculation with PBE-GGA was carried out for an optimized crystal structure of MoSe.

- V (A^3/atom) = 16.35
- space-group type = No. 12

The structure in POSCAR format:
```
MoSe
1.0
-1.042 4.593 -0.464
-0.743 3.123 -4.920
-3.179 0.373 -0.336
Mo Se
2 2
Direct
0.046 0.973 0.990 Mo
0.871 0.610 0.760 Mo
0.532 0.483 0.493 Se
0.385 0.100 0.257 Se
```

---

<ii>
A plane-wave DFT calculation with PBE-GGA was carried out for an optimized crystal structure of MoSe.

- V (A^3/atom) = 27.67
- space-group type = No. 83

The structure in POSCAR format:
```
MoSe
1.0
-1.480 -5.667 -9.683
-5.184 -8.316 5.659
-3.040 1.581 -0.461
Mo Se
8 8
Direct
0.768 0.422 0.500 Mo
0.232 0.578 0.500 Mo
0.578 0.768 0.500 Mo
0.422 0.232 0.500 Mo
0.891 0.543 0.000 Mo
0.109 0.457 0.000 Mo
0.457 0.891 0.000 Mo
0.543 0.109 0.000 Mo
0.772 0.649 0.500 Se
0.228 0.351 0.500 Se
0.351 0.772 0.500 Se
0.649 0.228 0.500 Se
0.904 0.324 0.000 Se
0.096 0.676 0.000 Se
0.676 0.904 0.000 Se
0.324 0.096 0.000 Se
```

---

Most favorable first, least favorable last: <ii>, <i>

---

<i>
A plane-wave DFT calculation with PBE-GGA was carried out for an optimized crystal structure of SrTa2W.

- V (A^3/atom) = 23.06
- space-group type = No. 123

The structure in POSCAR format:
```
SrTa2W
1.0
3.314 0.000 0.000
0.000 3.314 0.000
0.000 0.000 8.399
Sr Ta W
1 2 1
Direct
0.500 0.500 0.750 Sr
0.000 0.000 0.078 Ta
0.000 0.000 0.422 Ta
0.500 0.500 0.250 W
```

---

<ii>
A plane-wave DFT calculation with PBE-GGA was carried out for an optimized crystal structure of SrTa2W.

- V (A^3/atom) = 23.04
- space-group type = No. 99

The structure in POSCAR format:
```
SrTa2W
1.0
-3.373 -0.549 0.053
0.346 -1.854 2.851
-0.991 6.503 4.350
Sr Ta W
1 2 1
Direct
0.500 0.500 0.735 Sr
0.000 0.000 0.078 Ta
0.500 0.500 0.261 Ta
0.000 0.000 0.425 W
```

---

Most favorable first, least favorable last: <i>, <ii>